VASP calculation (GGA-PBE) on crystalline Li4CdIn7 at its relaxed geometry.

```
data_Li4CdIn7
_cell_length_a 5.2376
_cell_length_b 8.3497
_cell_length_c 7.3890
_cell_angle_alpha 81.26
_cell_angle_beta 69.24
_cell_angle_gamma 71.72
_space_group_name_H-M_alt 'P 1'
_space_group_IT_number 1
_space_group_name_Hall 'P 1'
loop_
_atom_site_label
_atom_site_type_symbol
_atom_site_fract_x
_atom_site_fract_y
_atom_site_fract_z
Li1 Li 0.5765 0.2041 0.6429
Li2 Li 0.4235 0.7959 0.3571
Li3 Li 0.6888 0.6462 0.9762
Li4 Li 0.3112 0.3538 0.0238
Cd1 Cd 0.0000 0.0000 0.0000
In1 In 0.7858 0.8360 0.5924
In2 In 0.2142 0.1640 0.4076
In3 In 0.0653 0.6472 0.2223
In4 In 0.9347 0.3528 0.7777
In5 In 0.3423 0.6031 0.7124
In6 In 0.5000 0.0000 0.0000
In7 In 0.6577 0.3969 0.2876
```

## Properties
The value obtained for the total energy is -2.37 eV/atom. As for the size of the total moment: 0.0 μB/f.u. The value obtained for the energy of formation from the pure elements is -0.063 eV per atom.

---

VASP calculation (GGA-PBE) on crystalline Pm2Nd4Y2Ho at its relaxed geometry.

```
data_Pm2Nd4Y2Ho
_cell_length_a 5.1477
_cell_length_b 8.1438
_cell_length_c 8.1033
_cell_angle_alpha 107.59
_cell_angle_beta 90.00
_cell_angle_gamma 108.42
_space_group_name_H-M_alt 'P 1'
_space_group_IT_number 1
_space_group_name_Hall 'P 1'
loop_
_atom_site_label
_atom_site_type_symbol
_atom_site_fract_x
_atom_site_fract_y
_atom_site_fract_z
Pm1 Pm 0.8889 0.7779 0.3314
Pm2 Pm 0.1111 0.2221 0.6686
Nd1 Nd 0.7781 0.5562 0.6677
Nd2 Nd 0.2219 0.4438 0.3323
Nd3 Nd 0.5550 0.1101 0.3317
Nd4 Nd 0.4450 0.8899 0.6683
Y1 Y 0.3337 0.6674 0.0000
Y2 Y 0.6663 0.3326 0.0000
Ho1 Ho 0.0000 0.0000 0.0000
```

## Properties
The value obtained for the total energy is -5.10 eV/atom. As for the size of the total moment: 0.0 μB/f.u. The value obtained for the energy of formation from the pure elements is 0.018 eV per atom.

---

VASP calculation (GGA-PBE) on crystalline DyY2CrN4 at its relaxed geometry.

```
data_DyY2CrN4
_cell_length_a 3.3665
_cell_length_b 5.9310
_cell_length_c 11.6774
_cell_angle_alpha 90.00
_cell_angle_beta 90.00
_cell_angle_gamma 106.49
_space_group_name_H-M_alt 'P 1'
_space_group_IT_number 1
_space_group_name_Hall 'P 1'
loop_
_atom_site_label
_atom_site_type_symbol
_atom_site_fract_x
_atom_site_fract_y
_atom_site_fract_z
Dy1 Dy 0.1106 0.2212 0.7500
Dy2 Dy 0.8894 0.7788 0.2500
Y1 Y 0.3687 0.7375 0.5431
Y2 Y 0.6313 0.2625 0.0431
Y3 Y 0.6313 0.2625 0.4569
Y4 Y 0.3687 0.7375 0.9569
Cr1 Cr 0.8430 0.6860 0.7500
Cr2 Cr 0.1570 0.3140 0.2500
N1 N 0.2677 0.5354 0.1321
N2 N 0.7323 0.4646 0.6321
N3 N 0.7323 0.4646 0.8679
N4 N 0.2677 0.5354 0.3679
N5 N 0.0000 0.0000 0.5000
N6 N 0.0000 0.0000 0.0000
N7 N 0.4343 0.8687 0.7500
N8 N 0.5657 0.1313 0.2500
```

## Properties
The value obtained for the total energy is -8.77 eV/atom. For the raw formation energy, the calculation gives -1211 meV/atom. As for the size of the total moment: 2.1 μB/f.u.

---

VASP calculation (GGA-PBE) on crystalline Pm6Dy3Th at its relaxed geometry.

```
data_Pm6Dy3Th
_cell_length_a 3.6239
_cell_length_b 6.2478
_cell_length_c 29.6949
_cell_angle_alpha 93.91
_cell_angle_beta 96.99
_cell_angle_gamma 90.04
_space_group_name_H-M_alt 'P 1'
_space_group_IT_number 1
_space_group_name_Hall 'P 1'
loop_
_atom_site_label
_atom_site_type_symbol
_atom_site_fract_x
_atom_site_fract_y
_atom_site_fract_z
Pm1 Pm 0.4016 0.8086 0.9014
Pm2 Pm 0.5976 0.8632 0.5994
Pm3 Pm 0.2051 0.3994 0.2006
Pm4 Pm 0.7949 0.6006 0.7994
Pm5 Pm 0.4024 0.1368 0.4006
Pm6 Pm 0.5984 0.1914 0.0986
Pm7 Pm 0.9033 0.6275 0.4014
Pm8 Pm 0.0994 0.7014 0.0991
Pm9 Pm 0.6968 0.2350 0.7012
Pm10 Pm 0.3032 0.7650 0.2988
Pm11 Pm 0.9006 0.2986 0.9009
Pm12 Pm 0.0967 0.3725 0.5986
Dy1 Dy 0.2952 0.1013 0.7995
Dy2 Dy 0.5000 0.5000 0.0000
Dy3 Dy 0.7048 0.8987 0.2005
Dy4 Dy 0.8026 0.2642 0.2987
Dy5 Dy 0.0000 0.0000 0.5000
Dy6 Dy 0.1974 0.7358 0.7013
Th1 Th 0.5000 0.5000 0.5000
Th2 Th 0.0000 0.0000 0.0000
```

## Properties
For the energy above the most stable polymorph in this dataset, the calculation gives 0 meV per atom. The value obtained for the total energy is -4.95 eV/atom. As for the size of the total moment: 0.0 μB/f.u. The value obtained for the energy of formation from the pure elements is 0.022 eV per atom.